VASP calculation (PBE) on crystalline Nd8Cd2Ag at its relaxed geometry.

The calculated formation energy comes out at -109 meV/atom. As for the energy relative to the lowest polymorph listed for this composition: 30 meV/atom.

The structure belongs to space group C2/m (No. 12); the cell edges are 18.654, 5.386 and 7.138 Å and the angles 90.00°, 104.42° and 90.00°. The distinct sites, in fractional coordinates, are Nd at (0.021, 0.000, 0.266), Nd at (0.092, 0.500, 0.955), Nd at (0.160, 0.500, 0.461), Nd at (0.198, 0.000, 0.795), Cd at (0.188, 0.000, 0.225) and Ag at (0.000, 0.500, 0.500).

=====

VASP calculation (PBE) on crystalline SnAs at its relaxed geometry.

The calculated formation energy comes out at 168 meV/atom.

The structure belongs to space group P6_3/m (No. 176); the cell edges are 9.8226, 9.8226 and 3.6430 Å and the angles 90.00°, 90.00° and 120.00°. The distinct sites, in fractional coordinates, are Sn at (0.1302, 0.6396, 0.2500) and As at (0.1014, 0.8548, 0.7500).

=====

VASP calculation (PBE) on crystalline Sc2Al2Ga3 at its relaxed geometry.

The calculated formation energy comes out at -378 meV/atom. As for the energy relative to the lowest polymorph listed for this composition: 0 meV/atom.

The structure belongs to space group C2/m (No. 12); the cell edges are 10.226, 4.140 and 6.199 Å and the angles 90.00°, 99.87° and 90.00°. The distinct sites, in fractional coordinates, are Sc at (0.108, 0.000, 0.314), Al at (0.102, 0.500, 0.646), Ga at (0.000, 0.500, 0.000) and Ga at (0.216, 0.000, 0.846).

=====

VASP calculation (PBE) on crystalline Cs6K8Ag at its relaxed geometry.

The calculated formation energy comes out at 25 meV/atom.

The structure belongs to space group R-3 (No. 148, hexagonal axes); the cell edges are 13.2602, 13.2602 and 24.5343 Å and the angles 90.00°, 90.00° and 120.00°. The distinct sites, in fractional coordinates, are Cs at (0.0328, 0.7902, 0.4118), K at (0.0000, 0.0000, 0.2391), K at (0.0538, 0.8239, 0.9146) and Ag at (0.0000, 0.0000, 0.0000).

=====

VASP calculation (PBE) on crystalline AcTbThHg at its relaxed geometry.

The calculated formation energy comes out at 110 meV/atom.

The structure belongs to space group F-43m (No. 216); the cell edges are 7.936, 7.936 and 7.936 Å and the angles 90.00°, 90.00° and 90.00°. The distinct sites, in fractional coordinates, are Ac at (0.000, 0.000, 0.000), Tb at (0.250, 0.250, 0.250), Th at (0.250, 0.250, 0.750) and Hg at (0.000, 0.000, 0.500).

=====

VASP calculation (PBE) on crystalline MnV2Rh5 at its relaxed geometry.

The calculated formation energy comes out at -342 meV/atom.

The structure belongs to space group Pbam (No. 55); the cell edges are 5.356, 10.680 and 3.819 Å and the angles 90.00°, 90.00° and 90.00°. The distinct sites, in fractional coordinates, are Mn at (0.000, 0.000, 0.000), V at (0.237, 0.373, 0.500), Rh at (0.000, 0.500, 0.000), Rh at (0.020, 0.754, 0.000) and Rh at (0.234, 0.120, 0.500).

=====

VASP calculation (PBE) on crystalline Cs3ZnFe at its relaxed geometry.

The calculated formation energy comes out at 893 meV/atom.

The structure belongs to space group Pm-3m (No. 221); the cell edges are 7.054, 7.054 and 7.054 Å and the angles 90.00°, 90.00° and 90.00°. The distinct sites, in fractional coordinates, are Cs at (0.000, 0.000, 0.500), Zn at (0.000, 0.000, 0.000) and Fe at (0.500, 0.500, 0.500).

=====

VASP calculation (PBE) on crystalline Sc8PdRh2 at its relaxed geometry.

The calculated formation energy comes out at -454 meV/atom.

The structure belongs to space group C2/m (No. 12); the cell edges are 7.838, 12.226 and 5.160 Å and the angles 90.00°, 107.98° and 90.00°. The distinct sites, in fractional coordinates, are Sc at (0.000, 0.224, 0.000), Sc at (0.129, 0.500, 0.817), Sc at (0.205, 0.125, 0.595), Pd at (0.000, 0.000, 0.000) and Rh at (0.000, 0.307, 0.500).

=====

VASP calculation (PBE) on crystalline Pm3AsSe6 at its relaxed geometry.

Its energy relative to the elements, uncorrected is -1411.4 meV per atom.

The structure belongs to space group Cmc2_1 (No. 36); the cell edges are 11.319, 14.149 and 7.099 Å and the angles 90.00°, 90.00° and 90.00°. The distinct sites, in fractional coordinates, are Pm at (0.000, 0.098, 0.000), Pm at (0.182, 0.401, 0.899), As at (0.000, 0.320, 0.375), Se at (0.000, 0.268, 0.740), Se at (0.000, 0.485, 0.151), Se at (0.162, 0.241, 0.201) and Se at (0.164, 0.030, 0.700).

=====

VASP calculation (PBE) on crystalline ScNbIO2 at its relaxed geometry.

Its energy relative to the elements, uncorrected is -810.6 meV per atom. As for the energy relative to the lowest polymorph listed for this composition: 293 meV/atom.

The structure belongs to space group P4/mmm (No. 123); the cell edges are 4.107, 4.107 and 5.756 Å and the angles 90.00°, 90.00° and 90.00°. The distinct sites, in fractional coordinates, are Sc at (0.000, 0.000, 0.000), Nb at (0.500, 0.500, 0.500), I at (0.000, 0.000, 0.500) and O at (0.000, 0.500, 0.000).

=====

VASP calculation (PBE) on crystalline SiSbW at its relaxed geometry.

Its energy relative to the elements, uncorrected is 558.4 meV per atom. As for the energy relative to the lowest polymorph listed for this composition: 258 meV/atom.

The structure belongs to space group Fmm2 (No. 42); the cell edges are 3.531, 4.793 and 13.436 Å and the angles 90.00°, 90.00° and 90.00°. The distinct sites, in fractional coordinates, are Si at (0.000, 0.000, 0.000), Sb at (0.000, 0.000, 0.302) and W at (0.000, 0.000, 0.633).

=====

VASP calculation (PBE) on crystalline Li2La3Nd2Tl4 at its relaxed geometry.

The calculated formation energy comes out at -218 meV/atom.

The structure belongs to space group P-3m1 (No. 164); the cell edges are 5.2225, 5.2225 and 14.1737 Å and the angles 90.00°, 90.00° and 120.00°. The distinct sites, in fractional coordinates, are Li at (0.3333, 0.6667, 0.1252), La at (0.0000, 0.0000, 0.0000), La at (0.0000, 0.0000, 0.2352), Nd at (0.3333, 0.6667, 0.5833), Tl at (0.3333, 0.6667, 0.3438) and Tl at (0.3333, 0.6667, 0.8750).

=====

The evaluated V for the records listed, in turn: 31.57; 25.37; 18.47; 83.02; 31.23; 13.66; 70.20; 21.38; 28.42; 19.42; 18.95; 30.44 Å³/atom.